SmTm2MoN4: relaxed, PBE.

Calculated density in g/cm3: 9.2
Formation energy without anion corrections in eV/atom: -1.19
Electronic total energy in eV per atom: -8.41
Magnetization in μB per formula unit: 0.00

a = 6.058 Å, b = 6.058 Å, c = 11.675 Å
α = 90.00°, β = 90.00°, γ = 147.52°
Sites, in units of the cell vectors:
Sm 0.104 0.896 0.750
Sm 0.896 0.104 0.250
Tm 0.370 0.630 0.539
Tm 0.370 0.630 0.961
Tm 0.630 0.370 0.039
Tm 0.630 0.370 0.461
Mo 0.156 0.844 0.250
Mo 0.844 0.156 0.750
N 0.000 0.000 0.000
N 0.000 0.000 0.500
N 0.262 0.738 0.122
N 0.262 0.738 0.378
N 0.448 0.552 0.750
N 0.552 0.448 0.250
N 0.738 0.262 0.622
N 0.738 0.262 0.878

SmTmMoN3: relaxed, PBE.

Calculated density in g/cm3: 9.6
Formation energy without anion corrections in eV/atom: -1.26
Electronic total energy in eV per atom: -8.76
Magnetization in μB per formula unit: 0.00

a = 5.790 Å, b = 3.317 Å, c = 8.436 Å
α = 90.00°, β = 103.25°, γ = 90.00°
Sites, in units of the cell vectors:
Sm 0.140 0.250 0.190
Sm 0.860 0.750 0.810
Tm 0.267 0.750 0.553
Tm 0.733 0.250 0.447
Mo 0.391 0.250 0.880
Mo 0.609 0.750 0.120
N 0.069 0.250 0.673
N 0.248 0.750 0.987
N 0.454 0.750 0.327
N 0.546 0.250 0.673
N 0.752 0.250 0.013
N 0.931 0.750 0.327

SmTmMo2N6: relaxed, PBE.

Calculated density in g/cm3: 6.2
Formation energy without anion corrections in eV/atom: -0.87
Electronic total energy in eV per atom: -8.95
Magnetization in μB per formula unit: 0.00

a = 7.445 Å, b = 7.445 Å, c = 6.383 Å
α = 107.77°, β = 107.77°, γ = 80.70°
Sites, in units of the cell vectors:
Sm 0.093 0.907 0.750
Sm 0.907 0.093 0.250
Tm 0.288 0.712 0.250
Tm 0.712 0.288 0.750
Mo 0.203 0.378 0.792
Mo 0.378 0.203 0.292
Mo 0.622 0.797 0.708
Mo 0.797 0.622 0.208
N 0.001 0.775 0.336
N 0.123 0.622 0.849
N 0.225 0.999 0.164
N 0.332 0.372 0.094
N 0.372 0.332 0.594
N 0.378 0.877 0.651
N 0.622 0.123 0.349
N 0.628 0.668 0.406
N 0.668 0.628 0.906
N 0.775 0.001 0.836
N 0.877 0.378 0.151
N 0.999 0.225 0.664

Sn2MoN: relaxed, PBE.

Calculated density in g/cm3: 8.2
Formation energy without anion corrections in eV/atom: 0.76
Electronic total energy in eV per atom: -6.03
Magnetization in μB per formula unit: 0.00

a = 5.685 Å, b = 5.685 Å, c = 5.685 Å
α = 108.22°, β = 108.22°, γ = 112.01°
Sites, in units of the cell vectors:
Sn 0.058 0.625 0.933
Sn 0.375 0.308 0.433
Sn 0.692 0.125 0.067
Sn 0.875 0.942 0.567
Mo 0.250 0.750 0.500
Mo 0.500 0.500 0.000
N 0.000 0.000 0.000
N 0.750 0.250 0.500

Which value of formation energy without anion corrections does entry 4 give? 0.76 eV/atom

What is the magnetization in the fourth record? 0.00 μB per formula unit